# 1
Compound: Sc2Al4C3O3
Source: the Alexandria database
Functional: PBE
Structure: optimized geometry

Lattice parameters (Å, degrees): 14.393 14.393 14.393 13.42 13.42 13.42
Element x y z (fractional)
Al (0.617, 0.617, 0.617)
Al (0.770, 0.770, 0.770)
Al (0.384, 0.384, 0.384)
Al (0.235, 0.235, 0.235)
C (0.290, 0.290, 0.290)
C (0.694, 0.694, 0.694)
C (0.429, 0.429, 0.429)
O (0.194, 0.194, 0.194)
O (0.573, 0.573, 0.573)
O (0.815, 0.815, 0.815)
Sc (0.000, 0.000, 0.000)
Sc (0.499, 0.499, 0.499)

Calculated values
density of states at the Fermi level: 1.71 states/eV per cell
E_form (uncorrected): -1443.3 meV/atom
M_tot: 0.00 μB per cell
symmetry: R3m (160)

# 2
Compound: LaGdAlHg
Source: the Alexandria database
Functional: PBE
Structure: optimized geometry

Lattice parameters (Å, degrees): 5.369 5.369 5.369 60.00 60.00 60.00
Each line ends with the local moment (μB).
Element x y z (fractional)
Hg (0.750, 0.750, 0.750)  0.04
Al (0.250, 0.250, 0.250)  -0.01
Gd (0.000, 0.000, 0.000)  7.24
La (0.500, 0.500, 0.500)  0.16

Calculated values
density of states at the Fermi level: 3.67 states/eV per cell
ΔH_f (0 K): -0.410 eV/atom
M_tot: 8.00 μB per cell
symmetry: F-43m (216)

# 3
Compound: Ir3OsRu4
Source: the Alexandria database
Functional: PBE
Structure: optimized geometry

Lattice parameters (Å, degrees): 3.846 3.846 8.138 103.67 103.67 90.00
Element x y z (fractional)
Ru (0.876, 0.876, 0.752)
Ru (0.124, 0.124, 0.248)
Ru (0.624, 0.625, 0.248)
Ru (0.376, 0.375, 0.752)
Ir (0.000, 0.500, 0.000)
Ir (0.249, 0.749, 0.497)
Ir (0.751, 0.251, 0.503)
Os (0.500, 0.000, 0.000)

Calculated values
distance to the lowest polymorph of the same formula: 0.0 kJ/mol of formula units
density of states at the Fermi level: 7.93 states/eV per cell
ΔH_f (0 K): 0.005 eV/atom
M_tot: 0.00 μB per cell
symmetry: I4/mmm (139)

# 4
Compound: ThZn2Ga3
Source: the Alexandria database
Functional: PBE
Structure: optimized geometry

Lattice parameters (Å, degrees): 4.438 8.643 7.983 53.26 73.86 75.12
Element x y z (fractional)
Ga (0.679, 0.546, 0.095)
Ga (0.358, 0.798, 0.485)
Ga (0.010, 0.659, 0.322)
Ga (0.642, 0.202, 0.515)
Ga (0.321, 0.454, 0.905)
Ga (0.990, 0.341, 0.678)
Zn (0.818, 0.673, 0.691)
Zn (0.182, 0.327, 0.309)
Zn (0.484, 0.172, 0.859)
Zn (0.516, 0.828, 0.141)
Th (0.148, 0.902, 0.803)
Th (0.852, 0.098, 0.197)

Calculated values
density of states at the Fermi level: 4.09 states/eV per cell
ΔH_f (0 K): -0.294 eV/atom
M_tot: 0.00 μB per cell
symmetry: C2/m (12)

# 5
Compound: Te2PAu
Source: the Alexandria database
Functional: PBE
Structure: optimized geometry

Lattice parameters (Å, degrees): 3.765 5.833 7.728 41.32 90.00 90.00
Element x y z (fractional)
Te (0.000, 0.571, 0.724)
Te (0.000, 0.429, 0.276)
P (0.500, 0.500, 0.500)
Au (0.500, 0.000, 0.000)

Calculated values
density of states at the Fermi level: 2.01 states/eV per cell
E_form (uncorrected): 230.1 meV/atom
M_tot: 0.00 μB per cell
symmetry: P2/m (10)

# 6
Compound: PaCdN2
Source: the Alexandria database
Functional: PBE
Structure: optimized geometry

Lattice parameters (Å, degrees): 3.266 3.266 7.458 90.00 90.00 90.00
Element x y z (fractional)
N (0.000, 0.000, 0.849)
N (0.000, 0.000, 0.651)
Pa (0.500, 0.500, 0.750)
Cd (0.500, 0.500, 0.250)

Calculated values
density of states at the Fermi level: 2.05 states/eV per cell
E_form (uncorrected): -453.7 meV/atom
M_tot: 0.00 μB per cell
symmetry: P4/mmm (123)

# 7
Compound: Th3O2
Source: the Alexandria database
Functional: PBE
Structure: optimized geometry

Lattice parameters (Å, degrees): 6.930 6.930 6.930 55.03 55.03 55.03
Element x y z (fractional)
Th (0.083, 0.750, 0.417)
Th (0.417, 0.083, 0.750)
Th (0.250, 0.583, 0.917)
Th (0.917, 0.250, 0.583)
Th (0.583, 0.917, 0.250)
Th (0.750, 0.417, 0.083)
O (0.338, 0.338, 0.338)
O (0.162, 0.162, 0.162)
O (0.838, 0.838, 0.838)
O (0.662, 0.662, 0.662)

Calculated values
density of states at the Fermi level: 6.20 states/eV per cell
E_form (uncorrected): -2017.4 meV/atom
M_tot: 0.00 μB per cell
symmetry: R-3c (167)

# 8
Compound: La3Y2Tm8
Source: the Alexandria database
Functional: PBE
Structure: optimized geometry

Lattice parameters (Å, degrees): 7.039 9.116 9.449 118.84 119.51 90.00
Element x y z (fractional)
Tm (0.431, 0.561, 0.760)
Tm (0.569, 0.439, 0.240)
Tm (0.569, 0.801, 0.240)
Tm (0.010, 0.805, 0.609)
Tm (0.086, 0.422, 0.844)
Tm (0.990, 0.195, 0.391)
Tm (0.914, 0.578, 0.156)
Tm (0.431, 0.199, 0.760)
La (0.500, 0.000, 0.000)
La (0.000, 0.819, 0.000)
La (0.000, 0.181, 0.000)
Y (0.474, 0.775, 0.549)
Y (0.526, 0.225, 0.451)

Calculated values
density of states at the Fermi level: 17.98 states/eV per cell
ΔH_f (0 K): 0.253 eV/atom
M_tot: 0.00 μB per cell
symmetry: C2/m (12)

no.,calculated total energy (hartree per atom)
1,-0.268
2,-0.227
3,-0.344
4,-0.127
5,-0.129
6,-0.265
7,-0.311
8,-0.170